# 1
Material: Dy4GaSnO
Method: DFT, GGA-PBE
State: optimized geometry

Geometry as extended XYZ:
```
14
Lattice="-0.453 -3.002 5.662 6.187 -1.707 -0.410 2.395 8.435 1.019" Properties=species:S:1:pos:R:3 pbc="T T T"
Dy 3.210 4.113 6.082
Dy 6.451 4.509 2.907
Dy 4.920 -0.387 0.188
Dy 1.678 -0.783 3.364
Dy 4.065 1.863 3.135
Dy 1.198 4.218 0.510
Dy 0.971 2.717 3.341
Dy 4.291 3.364 0.305
Ga 2.056 1.201 0.801
Ga 6.074 2.525 5.470
Sn 4.886 -1.273 3.360
Sn 3.244 4.999 2.910
O 5.803 2.436 1.756
O 2.327 1.290 4.515
```

Calculated values
- Fermi-level density of states: 0.64 states/eV/atom
- ΔE_f (raw): -28.5 kcal/mol of atoms

***

# 2
Material: SrDyGaO4
Method: DFT, GGA-PBE
State: optimized geometry

Geometry as extended XYZ:
```
14
Lattice="-1.753 0.795 -5.384 -2.659 -5.166 0.103 -4.779 2.544 4.215" Properties=species:S:1:pos:R:3 pbc="T T T"
Sr -7.735 -0.918 0.159
Sr -1.457 -0.909 -1.224
Dy -5.627 -2.052 -2.329
Dy -3.564 0.226 1.264
Ga -4.006 -2.840 0.012
Ga -5.185 1.014 -1.077
O -6.403 0.077 -2.175
O -4.042 -4.340 1.158
O -2.788 -1.904 1.110
O -5.149 2.513 -2.224
O -3.599 -3.085 -1.769
O -5.592 1.259 0.704
O -5.642 -1.999 -0.061
O -3.549 0.173 -1.004
```

Calculated values
- Fermi-level density of states: 0.00 states/eV/atom
- ΔE_f (raw): -62.1 kcal/mol of atoms

***

# 3
Material: Sr2DyGa2O6
Method: DFT, GGA-PBE
State: optimized geometry

Geometry as extended XYZ:
```
11
Lattice="6.021 0.000 0.000 -3.011 5.215 0.000 0.000 0.000 6.987" Properties=species:S:1:pos:R:3 pbc="T T T"
Sr 0.000 3.476 5.805
Sr 3.011 1.738 1.182
Dy 0.000 0.000 0.000
Ga 0.000 3.476 1.854
Ga 3.011 1.738 5.133
O 1.326 1.411 5.784
O 3.570 3.361 5.784
O 4.137 0.443 5.784
O 1.685 3.804 1.203
O -0.559 1.853 1.203
O -1.126 4.772 1.203
```

Calculated values
- Fermi-level density of states: 0.24 states/eV/atom
- ΔE_f (raw): -52.4 kcal/mol of atoms

***

# 4
Material: DyTaGa2O8
Method: DFT, GGA-PBE
State: optimized geometry

Geometry as extended XYZ:
```
12
Lattice="-4.704 -0.835 -3.327 3.928 -4.249 -0.642 -1.705 0.065 5.566" Properties=species:S:1:pos:R:3 pbc="T T T"
Dy 0.000 0.000 0.000
Ta 0.917 -3.363 1.469
Ga -3.399 -1.656 0.127
Ga -0.388 -2.542 -1.985
O -2.118 -0.423 0.596
O 0.212 -2.453 -0.236
O -2.405 -0.672 3.311
O -4.344 -0.691 1.374
O -1.847 -3.646 -2.265
O -3.952 -2.028 -1.586
O -3.180 -3.481 0.124
O -0.923 -3.266 2.383
```

Calculated values
- Fermi-level density of states: 0.75 states/eV/atom
- ΔE_f (raw): -48.3 kcal/mol of atoms

***

# 5
Material: DyGaTe2O8
Method: DFT, GGA-PBE
State: optimized geometry

Geometry as extended XYZ:
```
12
Lattice="6.049 0.401 0.000 -2.323 5.599 0.000 -1.863 -3.000 4.927" Properties=species:S:1:pos:R:3 pbc="T T T"
Dy 0.000 0.000 0.000
Ga -1.162 2.800 2.464
Te 3.024 0.201 2.464
Te 1.863 3.000 0.000
O 1.562 -0.381 1.528
O 0.215 2.323 1.043
O 0.124 -1.778 3.884
O 3.152 -1.367 3.399
O 3.511 3.677 1.043
O 4.486 0.782 1.528
O 2.897 1.769 3.399
O -0.124 1.778 3.884
```

Calculated values
- Fermi-level density of states: 0.01 states/eV/atom
- ΔE_f (raw): -32.7 kcal/mol of atoms

***

# 6
Material: DyGaTeO6
Method: DFT, GGA-PBE
State: optimized geometry

Geometry as extended XYZ:
```
18
Lattice="5.163 0.000 0.000 -2.582 4.471 0.000 0.000 0.000 9.854" Properties=species:S:1:pos:R:3 pbc="T T T"
Dy 0.000 0.000 0.000
Dy 0.000 0.000 4.927
Ga 2.582 1.490 2.463
Ga 0.000 2.981 7.390
Te 0.000 2.981 2.463
Te 2.582 1.490 7.390
O 1.615 2.875 1.374
O -0.900 1.635 1.374
O 1.866 0.038 6.300
O 3.481 2.836 8.480
O 0.900 1.635 3.553
O -1.615 2.875 3.553
O 3.297 0.038 8.480
O 0.716 4.433 3.553
O 4.197 1.597 6.300
O -0.716 4.433 1.374
O 1.682 2.836 6.300
O 0.966 1.597 8.480
```

Calculated values
- Fermi-level density of states: 0.00 states/eV/atom
- ΔE_f (raw): -46.9 kcal/mol of atoms

***

# 7
Material: DyTlGaO4
Method: DFT, GGA-PBE
State: optimized geometry

Geometry as extended XYZ:
```
14
Lattice="-0.821 -5.573 -2.809 2.448 -5.400 2.947 -4.342 -4.245 2.639" Properties=species:S:1:pos:R:3 pbc="T T T"
Dy 0.000 0.000 0.000
Dy -0.947 -4.823 2.793
Tl -2.581 -4.909 -0.085
Tl -2.171 -2.123 1.320
Ga 0.484 -7.353 0.341
Ga -3.198 -7.866 2.436
O -2.223 -11.363 2.035
O -1.822 -8.614 3.517
O -0.893 -6.605 -0.740
O -0.492 -3.856 0.742
O 0.565 -6.422 2.042
O 0.149 -9.244 0.620
O -2.864 -5.975 2.157
O -3.280 -8.796 0.735
```

Calculated values
- Fermi-level density of states: 0.33 states/eV/atom
- ΔE_f (raw): -44.1 kcal/mol of atoms